1.
Compound: CaCe2ErHg4
Source: the Alexandria database
Functional: PBE
Structure: relaxed

Summary:
Its space-group type is R-3m (166). Its volume is 217.9 Å³/cell. The value obtained for the density is 9.8 Mg/m³. As for the electronic total energy: -2.86 eV/atom.

Cell: 9.2783 9.2783 9.2783 Å, 33.60 33.60 33.60°
Fractional coordinates of all 8 atoms:
Ca1 0.0000 0.0000 0.0000
Ce1 0.2503 0.2503 0.2503
Ce2 0.7497 0.7497 0.7497
Er1 0.5000 0.5000 0.5000
Hg1 0.1263 0.1263 0.1263
Hg2 0.3766 0.3766 0.3766
Hg3 0.6234 0.6234 0.6234
Hg4 0.8737 0.8737 0.8737

***

2.
Compound: SrLaBrN2
Source: the Alexandria database
Functional: PBE
Structure: relaxed

Summary:
Its space-group type is P4/mmm (123). Its volume is 116.0 Å³/cell. The value obtained for the density is 4.8 Mg/m³. The calculation puts the uncorrected formation energy at 1414 meV/atom. As for the electronic total energy: -3.57 eV/atom.

Cell: 4.7682 4.7682 5.1018 Å, 90.00 90.00 90.00°
Fractional coordinates of all 5 atoms:
Sr1 0.0000 0.0000 0.0000
La1 0.5000 0.5000 0.0000
Br1 0.0000 0.0000 0.5000
N1 0.0000 0.5000 0.5000
N2 0.5000 0.0000 0.5000

***

3.
Compound: Y3ZrI
Source: the Alexandria database
Functional: PBE
Structure: relaxed

Summary:
Its space-group type is Pm-3m (221). The energy above the most stable polymorph in this dataset is 0.086 eV per atom. Its volume is 184.7 Å³/cell. The value obtained for the density is 4.4 Mg/m³. The calculation puts the uncorrected formation energy at 504 meV/atom. As for the electronic total energy: -5.39 eV/atom.

Cell: 5.6948 5.6948 5.6948 Å, 90.00 90.00 90.00°
Fractional coordinates of all 5 atoms:
Y1 0.0000 0.0000 0.5000
Y2 0.0000 0.5000 0.0000
Y3 0.5000 0.0000 0.0000
Zr1 0.0000 0.0000 0.0000
I1 0.5000 0.5000 0.5000

***

4.
Compound: ErGaTc
Source: the Alexandria database
Functional: PBE
Structure: relaxed

Summary:
Its space-group type is Imma (74). The energy above the most stable polymorph in this dataset is 0.000 eV per atom. Its volume is 110.4 Å³/cell. The value obtained for the density is 10.1 Mg/m³. As for the electronic total energy: -6.45 eV/atom.

Cell: 5.3647 5.3647 5.3647 Å, 120.46 117.90 91.44°
Fractional coordinates of all 6 atoms:
Er1 0.3649 0.1149 0.2500
Er2 0.6351 0.8851 0.7500
Ga1 0.0000 0.5000 0.5000
Ga2 0.5000 0.5000 0.0000
Tc1 0.0000 0.0000 0.5000
Tc2 0.0000 0.5000 0.0000